VASP calculation (PBE-GGA) on a geometry-optimized V2Co4Ni3 structure.

Geometry as CIF:
```
data_V2Co4Ni3
_cell_length_a 7.865
_cell_length_b 3.568
_cell_length_c 7.498
_cell_angle_alpha 90.00
_cell_angle_beta 107.49
_cell_angle_gamma 90.00
_space_group_name_H-M_alt 'C 1 2/m 1'
_space_group_IT_number 12
loop_
_space_group_symop_operation_xyz
'x,y,z'
'-x,-y,-z'
'-x,y,-z'
'x,-y,z'
'x+1/2,y+1/2,z'
'-x+1/2,-y+1/2,-z'
'-x+1/2,y+1/2,-z'
'x+1/2,-y+1/2,z'
loop_
_atom_site_label
_atom_site_type_symbol
_atom_site_fract_x
_atom_site_fract_y
_atom_site_fract_z
V1 V 0.169 0.000 0.220
Co1 Co 0.001 0.500 0.665
Co2 Co 0.165 0.000 0.889
Ni1 Ni 0.000 0.500 0.000
Ni2 Ni 0.166 0.000 0.554
```

Results
ΔH_f (0 K), eV per atom: -0.11
ΔE to the lowest computed polymorph, meV per atom: 0
DFT total energy, eV/atom: -7.23